a.
! Pr3DySb3 | the Alexandria database | PBE | optimized geometry; values from VASP
&SYSTEM
  ibrav = 0, nat = 14, ntyp = 3
/
ATOMIC_SPECIES
Pr 140.91 Pr.upf
Dy 162.50 Dy.upf
Sb 121.76 Sb.upf
CELL_PARAMETERS angstrom
4.621 2.668 6.352
-4.621 2.668 6.352
0.000 -5.336 6.352
ATOMIC_POSITIONS angstrom
Pr -3.362 0.580 8.022
Pr -2.184 -2.621 11.035
Pr 1.178 -3.202 8.022
Pr -1.178 3.202 11.035
Pr 2.184 2.621 8.022
Pr 3.362 -0.580 11.035
Dy 0.000 0.000 6.338
Dy 0.000 0.000 12.719
Sb -1.831 -2.254 7.832
Sb -2.868 0.458 11.224
Sb -1.037 2.713 7.832
Sb 1.037 -2.713 11.224
Sb 2.868 -0.458 7.832
Sb 1.831 2.254 11.224
! SG: R-3 (148)

=====

b.
! Pr3DySb3 | the Alexandria database | PBE | optimized geometry; values from VASP
&SYSTEM
  ibrav = 0, nat = 28, ntyp = 3
/
ATOMIC_SPECIES
Pr 140.91 Pr.upf
Dy 162.50 Dy.upf
Sb 121.76 Sb.upf
CELL_PARAMETERS angstrom
9.497 0.000 0.000
0.000 9.497 0.000
0.000 0.000 9.497
ATOMIC_POSITIONS angstrom
Pr 0.634 4.115 5.382
Pr 1.682 7.815 3.066
Pr 1.706 1.706 1.706
Pr 3.043 7.791 6.454
Pr 3.066 1.682 7.815
Pr 4.115 5.382 0.634
Pr 5.382 0.634 4.115
Pr 6.431 6.431 6.431
Pr 6.454 3.043 7.791
Pr 7.791 6.454 3.043
Pr 7.815 3.066 1.682
Pr 8.863 8.863 8.863
Dy 0.684 5.432 8.813
Dy 4.065 4.065 4.065
Dy 5.432 8.813 0.684
Dy 8.813 0.684 5.432
Sb 0.021 2.438 8.274
Sb 1.223 4.769 2.310
Sb 2.310 1.223 4.769
Sb 2.438 8.274 0.021
Sb 3.525 4.728 7.059
Sb 4.728 7.059 3.525
Sb 4.769 2.310 1.223
Sb 5.972 9.476 7.186
Sb 7.059 3.525 4.728
Sb 7.186 5.972 9.476
Sb 8.274 0.021 2.438
Sb 9.476 7.186 5.972
! SG: P2_13 (198)

=====

Name the most stable of them. b.

=====

a.
! Pr2Dy2Sc | the Alexandria database | PBE | optimized geometry; values from VASP
&SYSTEM
  ibrav = 0, nat = 10, ntyp = 3
/
ATOMIC_SPECIES
Pr 140.91 Pr.upf
Dy 162.50 Dy.upf
Sc 44.96 Sc.upf
CELL_PARAMETERS angstrom
-1.761 2.836 16.102
1.761 -2.836 16.102
1.761 2.836 -16.102
ATOMIC_POSITIONS angstrom
Pr 1.761 1.418 -6.631
Pr 0.000 1.418 5.946
Pr 1.761 1.418 10.156
Pr 0.000 1.418 22.734
Dy 1.761 -1.418 12.406
Dy 1.761 -1.418 15.474
Dy 0.000 4.254 0.629
Dy 0.000 4.254 3.696
Sc 1.761 1.418 2.340
Sc 0.000 1.418 13.763
! SG: Imma (74)

=====

b.
! Pr2Dy2Sc | the Alexandria database | PBE | optimized geometry; values from VASP
&SYSTEM
  ibrav = 0, nat = 10, ntyp = 3
/
ATOMIC_SPECIES
Pr 140.91 Pr.upf
Dy 162.50 Dy.upf
Sc 44.96 Sc.upf
CELL_PARAMETERS angstrom
4.652 -4.277 0.000
4.652 4.277 0.000
-4.568 0.000 8.072
ATOMIC_POSITIONS angstrom
Pr -0.254 2.726 6.813
Pr 2.706 2.726 5.295
Pr 2.030 -2.726 2.777
Pr 4.990 -2.726 1.259
Dy 0.638 0.261 4.377
Dy 2.922 -0.261 0.341
Dy 1.814 0.261 7.731
Dy 4.098 -0.261 3.695
Sc 3.510 2.737 2.018
Sc 1.226 -2.737 6.054
! SG: C2/c (15)

=====

Name the most stable of them. b.

=====

a.
! Pr2Dy4Sc | the Alexandria database | PBE | optimized geometry; values from VASP
&SYSTEM
  ibrav = 0, nat = 14, ntyp = 3
/
ATOMIC_SPECIES
Pr 140.91 Pr.upf
Dy 162.50 Dy.upf
Sc 44.96 Sc.upf
CELL_PARAMETERS angstrom
5.375 0.000 0.000
0.000 5.375 0.000
0.000 0.000 17.416
ATOMIC_POSITIONS angstrom
Pr 0.000 0.000 2.217
Pr 0.000 0.000 15.198
Pr 2.688 2.688 6.491
Pr 2.688 2.688 10.925
Dy 0.000 0.000 5.676
Dy 0.000 0.000 11.740
Dy 0.000 2.688 0.000
Dy 0.000 2.688 8.708
Dy 2.688 0.000 0.000
Dy 2.688 0.000 8.708
Dy 2.688 2.688 3.032
Dy 2.688 2.688 14.384
Sc 0.000 0.000 8.708
Sc 2.688 2.688 0.000
! SG: I4/mmm (139)

=====

b.
! Pr2Dy4Sc | the Alexandria database | PBE | optimized geometry; values from VASP
&SYSTEM
  ibrav = 0, nat = 14, ntyp = 3
/
ATOMIC_SPECIES
Pr 140.91 Pr.upf
Dy 162.50 Dy.upf
Sc 44.96 Sc.upf
CELL_PARAMETERS angstrom
3.362 -6.053 0.000
3.362 6.053 0.000
0.000 0.000 11.190
ATOMIC_POSITIONS angstrom
Pr 3.362 5.612 8.392
Pr 3.362 2.128 8.392
Pr 3.362 -2.128 2.797
Pr 3.362 -5.612 2.797
Dy 3.362 3.366 0.505
Dy 3.362 3.366 5.090
Dy 1.878 0.000 0.000
Dy 1.878 0.000 5.595
Dy 4.847 0.000 0.000
Dy 4.847 0.000 5.595
Dy 3.362 -3.366 6.100
Dy 3.362 -3.366 10.685
Sc 3.362 1.227 2.797
Sc 3.362 -1.227 8.392
! SG: Cmcm (63)

=====

Name the most stable of them. b.